Here is Zr2AlNi3 at its PBEsol-relaxed geometry from Alexandria via LeMat-Bulk. Energies are from SCAN.

Lattice parameters (Å, degrees): 5.023 5.023 7.818 90.00 90.00 120.00
Element x y z (fractional)
Al 0.000 0.000 0.000
Al 0.000 0.000 0.500
Ni 0.171 0.829 0.750
Ni 0.659 0.829 0.750
Ni 0.171 0.341 0.750
Ni 0.829 0.171 0.250
Ni 0.341 0.171 0.250
Ni 0.829 0.659 0.250
Zr 0.667 0.333 0.943
Zr 0.333 0.667 0.443
Zr 0.333 0.667 0.057
Zr 0.667 0.333 0.557

## Properties
crystal system	hexagonal
D(E_F)	8.134	states/eV/cell
uncorrected energy	-20.193	eV/atom
SG	P6_3/mmc